# 1
# Rb4U3SnTe8

A geometry-optimized Rb4U3SnTe8 structure (PBE, Alexandria via LeMat-Bulk).

CIF file:
```
data_Rb4U3SnTe8
_cell_length_a 9.2583
_cell_length_b 9.2583
_cell_length_c 25.4118
_cell_angle_alpha 90.00
_cell_angle_beta 90.00
_cell_angle_gamma 120.00
_symmetry_space_group_name_H-M 'R -3 m'
_symmetry_Int_Tables_number 166
_symmetry_space_group_name_Hall '-R 3 2"'
loop_
_atom_site_label
_atom_site_fract_x
_atom_site_fract_y
_atom_site_fract_z
Rb1 0.0000 0.0000 0.0000
Rb2 0.0000 0.5000 0.0000
U1 0.0000 0.5000 0.5000
Sn1 0.0000 0.0000 0.5000
Te1 0.0000 0.0000 0.2334
Te2 0.0085 0.5043 0.7669
```

## Properties
* DOS(E_F): 34.2 states/eV per cell
* M_tot: 24.000 Bohr magnetons per cell
* DFT total energy: -4.99 eV per atom
* formation energy (no corrections): -813 meV/atom

# 2
# TeRhBr2

A geometry-optimized TeRhBr2 structure (PBE, Alexandria via LeMat-Bulk).

CIF file:
```
data_TeRhBr2
_cell_length_a 3.390
_cell_length_b 6.116
_cell_length_c 11.104
_cell_angle_alpha 90.00
_cell_angle_beta 90.00
_cell_angle_gamma 90.00
_symmetry_space_group_name_H-M 'C m m m'
_symmetry_Int_Tables_number 65
_symmetry_space_group_name_Hall '-C 2 2'
loop_
_atom_site_label
_atom_site_fract_x
_atom_site_fract_y
_atom_site_fract_z
Te1 0.000 0.000 0.000
Rh1 0.000 0.000 0.500
Br1 0.000 0.500 0.339
```

## Properties
* DOS(E_F): 12.5 states/eV per cell
* M_tot: 1.356 Bohr magnetons per cell
* DFT total energy: -3.25 eV per atom
* formation energy (no corrections): 205 meV/atom